# 1
TaGeP2Os: relaxed, PBE.

a b c (Å): 4.715 4.715 5.019
angles (deg): 90.00 90.00 90.00
Positions (direct):
Ta1 0.000 0.000 0.000
Ge1 0.000 0.000 0.500
P1 0.000 0.500 0.000
P2 0.500 0.000 0.000
Os1 0.500 0.500 0.500

Calculated values
* offset from the most stable computed form: 0.271 eV per atom
* energy relative to the elements: 1.42 eV per atom
* theoretical density: 7.53 g/cm³

# 2
SrPAu: relaxed, PBE.

a b c (Å): 6.126 6.126 6.126
angles (deg): 138.23 103.35 91.34
Positions (direct):
Sr1 0.241 0.241 0.000
Sr2 0.759 0.759 0.000
P1 0.348 0.000 0.348
P2 0.652 0.000 0.652
Au1 0.183 0.500 0.683
Au2 0.817 0.500 0.317

Calculated values
* energy relative to the elements: -0.83 eV per atom
* theoretical density: 7.38 g/cm³

# 3
CrTc2Ir: relaxed, PBE.

a b c (Å): 2.711 3.776 5.451
angles (deg): 90.00 90.00 90.00
Positions (direct):
Cr1 0.000 0.000 0.000
Tc1 0.500 0.500 0.231
Tc2 0.500 0.500 0.769
Ir1 0.000 0.000 0.500

Calculated values
* offset from the most stable computed form: 0.042 eV per atom
* energy relative to the elements: -0.01 eV per atom
* theoretical density: 13.10 g/cm³